First-principles (PBE-GGA) data for a relaxed structure of CoCu2Ir, as listed in the Alexandria database.

The structure in POSCAR format:
```
CoCu2Ir
1.0
2.582 0.015 0.000
-1.198 2.287 0.000
0.000 0.000 8.704
Cu Co Ir
2 1 1
direct
0.000 0.000 0.510
0.000 0.000 0.990
0.500 0.500 0.750
0.500 0.500 0.250
```

Properties
V = 52 Å³ per cell
Distance to the lowest polymorph of the same formula = 137 meV per atom
ΔE_f = 0.23 eV per atom


First-principles (PBE-GGA) data for a relaxed structure of Co2CuIr, as listed in the Alexandria database.

The structure in POSCAR format:
```
Co2CuIr
1.0
8.495 -0.006 -0.003
8.092 2.587 -0.003
8.092 1.259 2.260
Co Ir Cu
2 1 1
direct
0.999 0.999 0.999
0.501 0.501 0.501
0.750 0.750 0.750
0.250 0.250 0.250
```

Properties
V = 50 Å³ per cell
ΔE_f = 0.14 eV per atom


First-principles (PBE-GGA) data for a relaxed structure of CoCu2Ir, as listed in the Alexandria database.

The structure in POSCAR format:
```
CoCu2Ir
1.0
-1.162 2.292 0.663
-2.312 -0.899 -0.946
-1.573 -2.635 6.350
Cu Ir Co
2 1 1
direct
0.000 0.000 0.995
0.500 0.500 0.240
0.000 0.000 0.512
0.500 0.500 0.752
```

Properties
V = 50 Å³ per cell
Distance to the lowest polymorph of the same formula = 0 meV per atom
ΔE_f = 0.10 eV per atom


First-principles (PBE-GGA) data for a relaxed structure of MnCoCuIr, as listed in the Alexandria database.

The structure in POSCAR format:
```
MnCoCuIr
1.0
-2.002 3.584 -0.492
-4.134 0.067 -0.064
-2.091 1.651 3.162
Mn Co Cu Ir
1 1 1 1
direct
0.750 0.750 0.750
0.000 0.000 0.000
0.250 0.250 0.250
0.500 0.500 0.500
```

Properties
V = 50 Å³ per cell
ΔE_f = 0.10 eV per atom


First-principles (PBE-GGA) data for a relaxed structure of Co2CuIrN, as listed in the Alexandria database.

The structure in POSCAR format:
```
Co2CuIrN
1.0
3.784 0.000 0.000
0.000 3.784 0.000
0.000 0.000 3.988
Cu N Co Ir
1 1 2 1
direct
0.500 0.500 0.500
0.000 0.000 0.000
0.000 0.500 0.000
0.500 0.000 0.000
0.000 0.000 0.500
```

Properties
V = 57 Å³ per cell
Raw formation energy = 0.22 eV per atom


| no. | magnetization (μB/atom) | uncorrected energy (eV/atom) |
| --- | --- | --- |
| 1 | 0.4601 | -5.808 |
| 2 | 0.8462 | -6.648 |
| 3 | 0.2796 | -5.945 |
| 4 | 0.5202 | -7.203 |
| 5 | 0.5730 | -6.884 |